Record 1
In2MoPd: optimized geometry, PBE.

Summary:
Offset from the most stable computed form, meV/atom: 290
Energy relative to the elements, meV/atom: 425
Symmetry: I-42d, No. 122

Cell and atoms, written as extended XYZ:
```
8
Lattice="-3.717 3.717 2.955 3.717 -3.717 2.955 3.717 3.717 -2.955" Properties=species:S:1:pos:R:3 pbc="T T T"
In 1.859 1.737 -0.739
In 1.981 -1.859 3.693
In 1.859 1.981 2.216
In 1.737 5.576 0.739
Mo 3.717 0.000 1.477
Mo 0.000 0.000 2.955
Pd 0.000 0.000 0.000
Pd 0.000 3.717 1.477
```

---

Record 2
Y2TlPt: optimized geometry, PBE.

Summary:
Offset from the most stable computed form, meV/atom: 95
Energy relative to the elements, meV/atom: -703
Symmetry: Cmmm, No. 65

Cell and atoms, written as extended XYZ:
```
4
Lattice="3.603 -3.608 0.000 3.603 3.608 0.000 0.000 0.000 3.728" Properties=species:S:1:pos:R:3 pbc="T T T"
Y 1.802 1.804 0.000
Y 1.802 -1.804 0.000
Tl 0.000 0.000 1.864
Pt 3.603 0.000 1.864
```

---

Record 3
Sm3Dy2ErSe6: optimized geometry, PBE.

Summary:
E_form (uncorrected), eV per formula unit: -21.3
Symmetry: C2/m, No. 12

Cell and atoms, written as extended XYZ:
```
12
Lattice="3.536 -6.163 0.000 3.536 6.163 0.000 -2.372 0.000 6.793" Properties=species:S:1:pos:R:3 pbc="T T T"
Sm 0.000 0.000 0.000
Sm 3.536 2.078 0.000
Sm 3.536 -2.078 0.000
Dy 2.350 4.106 3.397
Dy 2.350 -4.106 3.397
Er 2.350 0.000 3.397
Se 1.185 2.038 1.772
Se 0.006 0.000 5.031
Se 1.185 -2.038 1.772
Se 3.515 2.038 5.021
Se 4.694 0.000 1.762
Se 3.515 -2.038 5.021
```

---

Record 4
TbInRhAu: optimized geometry, PBE.

Summary:
Energy relative to the elements, meV/atom: -614
Symmetry: F-43m, No. 216

Cell and atoms, written as extended XYZ:
```
4
Lattice="0.000 3.425 3.425 3.425 0.000 3.425 3.425 3.425 0.000" Properties=species:S:1:pos:R:3 pbc="T T T"
Tb 0.000 0.000 0.000
In 3.425 3.425 3.425
Rh 5.137 5.137 5.137
Au 1.712 1.712 1.712
```

---

Record 5
Ac2Pr2Hg: optimized geometry, PBE.

Summary:
Offset from the most stable computed form, meV/atom: 104
Energy relative to the elements, meV/atom: -71
Symmetry: C2/m, No. 12

Cell and atoms, written as extended XYZ:
```
10
Lattice="4.358 -5.257 0.000 4.358 5.257 0.000 -3.656 0.000 8.099" Properties=species:S:1:pos:R:3 pbc="T T T"
Ac 0.854 3.248 6.245
Ac 4.207 3.248 1.854
Ac 0.854 -3.248 6.245
Ac 4.207 -3.248 1.854
Pr -0.303 0.000 5.024
Pr 2.735 0.000 0.609
Pr 2.326 0.000 7.491
Pr 5.364 0.000 3.076
Hg 2.530 1.542 4.050
Hg 2.530 -1.542 4.050
```

---

Record 6
GePPd: optimized geometry, PBE.

Summary:
Offset from the most stable computed form, meV/atom: 33
Energy relative to the elements, meV/atom: -183
Symmetry: P-1, No. 2

Cell and atoms, written as extended XYZ:
```
6
Lattice="3.323 0.000 0.000 -0.040 5.656 0.000 -1.650 -0.918 5.421" Properties=species:S:1:pos:R:3 pbc="T T T"
Ge -0.020 1.543 0.147
Ge 1.653 3.195 5.274
P -0.015 1.598 2.531
P 1.649 3.140 2.890
Pd -0.008 -0.320 3.951
Pd 1.641 5.058 1.470
```

---

Record 7
TlSiSe2: optimized geometry, PBE.

Summary:
E_form (uncorrected), eV per formula unit: -0.9
Symmetry: Pm, No. 6

Cell and atoms, written as extended XYZ:
```
4
Lattice="3.803 0.000 0.000 0.000 4.419 0.000 -1.895 0.000 6.934" Properties=species:S:1:pos:R:3 pbc="T T T"
Tl 0.000 0.000 0.000
Si -0.002 2.209 3.320
Se -0.002 0.000 4.318
Se 1.902 2.209 1.774
```

---

Record 8
LaPtSe: optimized geometry, PBE.

Summary:
Offset from the most stable computed form, meV/atom: 195
E_form (uncorrected), eV per formula unit: -3.2
Symmetry: F-43m, No. 216

Cell and atoms, written as extended XYZ:
```
3
Lattice="0.000 3.391 3.391 3.391 0.000 3.391 3.391 3.391 0.000" Properties=species:S:1:pos:R:3 pbc="T T T"
La 0.000 0.000 0.000
Pt 1.695 1.695 1.695
Se 3.391 3.391 3.391
```

---

Computed magnetic moment, in the same sequence as the records: 1.91 0.00 0.00 0.00 0.00 0.00 0.00 0.00 μB per formula unit.
Computed DFT total energy, in the same sequence as the records: -39.60 -24.15 -70.17 -20.45 -36.86 -31.54 -15.65 -17.66 eV for the cell shown.